Here is CdRh3Au after structural relaxation from the Alexandria database. Energies are from PBE.

Calculated values
Mass density ... 8.80 Mg/m³
Space group ... No. 221
Crystal system ... cubic
Energy relative to the elements ... 683 kJ/mol of formula units

Lattice parameters (Å, degrees): 4.8855 4.8855 4.8855 90.00 90.00 90.00
Closest atoms and distances in Å follow each position.
Sites, in units of the cell vectors:
Cd1 0.0000 0.0000 0.0000  12 Rh 3.45
Rh1 0.0000 0.5000 0.5000  2 Au 2.44
Rh2 0.5000 0.0000 0.5000  2 Au 2.44
Rh3 0.5000 0.5000 0.0000  2 Au 2.44
Au1 0.5000 0.5000 0.5000  6 Rh 2.44